# meta-GGA SCAN Li2ScCd, single point on PBEsol structure
data_Li2ScCd
_chemical_formula_sum 'Li2 Sc1 Cd1'
_cell_length_a 3.2940
_cell_length_b 3.2940
_cell_length_c 7.2442
_cell_angle_alpha 90.00
_cell_angle_beta 90.00
_cell_angle_gamma 90.00
_symmetry_space_group_name_H-M 'P 4 m m'
_symmetry_Int_Tables_number 99
_symmetry_space_group_name_Hall 'P 4 -2'
loop_
_atom_site_label
_atom_site_type_symbol
_atom_site_fract_x
_atom_site_fract_y
_atom_site_fract_z
Li1 Li 0.0000 0.0000 0.0000
Li2 Li 0.5000 0.5000 0.2249
Sc1 Sc 0.0000 0.0000 0.5190
Cd1 Cd 0.5000 0.5000 0.7795
# **Spin magnetization**: 0.3 μB/f.u.
# **Formation energy from the elements**: -0.124 eV/atom
# **Distance to the lowest polymorph of the same formula**: 7 meV/atom

=====

# meta-GGA SCAN Li2CdPb, single point on PBEsol structure
data_Li2CdPb
_chemical_formula_sum 'Li4 Cd2 Pb2'
_cell_length_a 4.7554
_cell_length_b 4.7554
_cell_length_c 6.7523
_cell_angle_alpha 90.00
_cell_angle_beta 90.00
_cell_angle_gamma 90.00
_symmetry_space_group_name_H-M 'I 4/m m m'
_symmetry_Int_Tables_number 139
_symmetry_space_group_name_Hall '-I 4 2'
loop_
_atom_site_label
_atom_site_type_symbol
_atom_site_fract_x
_atom_site_fract_y
_atom_site_fract_z
Li1 Li 0.0000 0.5000 0.2500
Cd1 Cd 0.0000 0.0000 0.0000
Pb1 Pb 0.0000 0.0000 0.5000
# **Spin magnetization**: 0.0 μB/f.u.
# **Formation energy from the elements**: -0.370 eV/atom
# **Distance to the lowest polymorph of the same formula**: 3 meV/atom

=====

# meta-GGA SCAN Ca2MnNi, single point on PBEsol structure
data_Ca2MnNi
_chemical_formula_sum 'Ca6 Mn3 Ni3'
_cell_length_a 3.5474
_cell_length_b 3.5474
_cell_length_c 26.2559
_cell_angle_alpha 90.00
_cell_angle_beta 90.00
_cell_angle_gamma 120.00
_symmetry_space_group_name_H-M 'R -3 m'
_symmetry_Int_Tables_number 166
_symmetry_space_group_name_Hall '-R 3 2"'
loop_
_atom_site_label
_atom_site_type_symbol
_atom_site_fract_x
_atom_site_fract_y
_atom_site_fract_z
Ca1 Ca 0.0000 0.0000 0.2350
Mn1 Mn 0.0000 0.0000 0.0000
Ni1 Ni 0.0000 0.0000 0.5000
# **Spin magnetization**: 4.5 μB/f.u.
# **Formation energy from the elements**: 0.391 eV/atom

=====

# meta-GGA SCAN KYScBe2, single point on PBEsol structure
data_KYScBe2
_chemical_formula_sum 'K1 Y1 Sc1 Be2'
_cell_length_a 5.0933
_cell_length_b 5.0933
_cell_length_c 5.1814
_cell_angle_alpha 90.00
_cell_angle_beta 90.00
_cell_angle_gamma 90.00
_symmetry_space_group_name_H-M 'P 4/m m m'
_symmetry_Int_Tables_number 123
_symmetry_space_group_name_Hall '-P 4 2'
loop_
_atom_site_label
_atom_site_type_symbol
_atom_site_fract_x
_atom_site_fract_y
_atom_site_fract_z
K1 K 0.0000 0.0000 0.0000
Y1 Y 0.5000 0.5000 0.0000
Sc1 Sc 0.5000 0.5000 0.5000
Be1 Be 0.0000 0.5000 0.5000
# **Spin magnetization**: 0.7 μB/f.u.
# **Formation energy from the elements**: 1.156 eV/atom

=====

- Among the records above, which one has the lowest formation energy from the elements?
  Li2CdPb

=====

- formation energy from the elements of number 4 (KYScBe2)?
  1.156 eV/atom